A plane-wave DFT calculation with GGA-PBE was carried out for a relaxed structure of CeTlCuHg.

Results
Energy of formation (eV per atom): -0.13
M_tot (Bohr magnetons per cell): 3.42

```
data_CeTlCuHg
_cell_length_a 7.1923
_cell_length_b 7.1923
_cell_length_c 7.1923
_cell_angle_alpha 90.00
_cell_angle_beta 90.00
_cell_angle_gamma 90.00
_symmetry_space_group_name_H-M 'F -4 3 m'
_symmetry_Int_Tables_number 216
_symmetry_space_group_name_Hall 'F -4 2 3'
loop_
_atom_site_label
_atom_site_type_symbol
_atom_site_fract_x
_atom_site_fract_y
_atom_site_fract_z
Ce1 Ce 0.0000 0.0000 0.0000
Tl1 Tl 0.0000 0.0000 0.5000
Cu1 Cu 0.2500 0.2500 0.2500
Hg1 Hg 0.2500 0.2500 0.7500
```


A plane-wave DFT calculation with GGA-PBE was carried out for a relaxed structure of EuTl2Cd.

Results
Energy of formation (eV per atom): -0.27
M_tot (Bohr magnetons per cell): 7.16
Energy relative to the lowest polymorph listed for this composition (kJ per mole of atoms): 0.7

```
data_EuTl2Cd
_cell_length_a 5.0299
_cell_length_b 5.0299
_cell_length_c 4.4911
_cell_angle_alpha 90.00
_cell_angle_beta 90.00
_cell_angle_gamma 90.00
_symmetry_space_group_name_H-M 'P 4/m m m'
_symmetry_Int_Tables_number 123
_symmetry_space_group_name_Hall '-P 4 2'
loop_
_atom_site_label
_atom_site_type_symbol
_atom_site_fract_x
_atom_site_fract_y
_atom_site_fract_z
Eu1 Eu 0.0000 0.0000 0.0000
Tl1 Tl 0.0000 0.5000 0.5000
Cd1 Cd 0.5000 0.5000 0.0000
```


A plane-wave DFT calculation with GGA-PBE was carried out for a relaxed structure of Tb4Pu3Te8.

Results
M_tot (Bohr magnetons per cell): 35.34
Raw formation energy (eV/atom): -1.280

```
data_Tb4Pu3Te8
_cell_length_a 12.3936
_cell_length_b 12.4158
_cell_length_c 8.7711
_cell_angle_alpha 90.00
_cell_angle_beta 134.85
_cell_angle_gamma 90.00
_symmetry_space_group_name_H-M 'C 1 2/m 1'
_symmetry_Int_Tables_number 12
_symmetry_space_group_name_Hall '-C 2y'
loop_
_atom_site_label
_atom_site_type_symbol
_atom_site_fract_x
_atom_site_fract_y
_atom_site_fract_z
Tb1 Tb 0.0000 0.0000 0.0000
Tb2 Tb 0.0000 0.0000 0.5000
Tb3 Tb 0.2500 0.2500 0.0000
Pu1 Pu 0.0000 0.5000 0.5000
Pu2 Pu 0.2500 0.2500 0.5000
Te1 Te 0.0000 0.2491 0.5000
Te2 Te 0.0000 0.2531 0.0000
Te3 Te 0.2480 0.5000 0.0041
Te4 Te 0.2493 0.5000 0.4957
```


A plane-wave DFT calculation with GGA-PBE was carried out for a relaxed structure of Sr2Bi2Au.

Results
Energy of formation (eV per atom): -0.72
M_tot (Bohr magnetons per cell): 0.00
Energy relative to the lowest polymorph listed for this composition (kJ per mole of atoms): 0.0

```
data_Sr2Bi2Au
_cell_length_a 12.2516
_cell_length_b 4.7857
_cell_length_c 12.6069
_cell_angle_alpha 90.00
_cell_angle_beta 117.40
_cell_angle_gamma 90.00
_symmetry_space_group_name_H-M 'C 1 2/m 1'
_symmetry_Int_Tables_number 12
_symmetry_space_group_name_Hall '-C 2y'
loop_
_atom_site_label
_atom_site_type_symbol
_atom_site_fract_x
_atom_site_fract_y
_atom_site_fract_z
Sr1 Sr 0.0485 0.0000 0.3800
Sr2 Sr 0.1654 0.5000 0.1713
Bi1 Bi 0.1068 0.0000 0.9499
Bi2 Bi 0.1737 0.5000 0.6220
Au1 Au 0.1212 0.5000 0.8250
```


A plane-wave DFT calculation with GGA-PBE was carried out for a relaxed structure of La4PmAl5.

Results
Energy of formation (eV per atom): -0.36
M_tot (Bohr magnetons per cell): 0.00

```
data_La4PmAl5
_cell_length_a 3.7791
_cell_length_b 3.7791
_cell_length_c 18.9111
_cell_angle_alpha 90.00
_cell_angle_beta 90.00
_cell_angle_gamma 90.00
_symmetry_space_group_name_H-M 'P 4/m m m'
_symmetry_Int_Tables_number 123
_symmetry_space_group_name_Hall '-P 4 2'
loop_
_atom_site_label
_atom_site_type_symbol
_atom_site_fract_x
_atom_site_fract_y
_atom_site_fract_z
La1 La 0.0000 0.0000 0.1010
La2 La 0.0000 0.0000 0.3032
Pm1 Pm 0.0000 0.0000 0.5000
Al1 Al 0.5000 0.5000 0.0000
Al2 Al 0.5000 0.5000 0.2019
Al3 Al 0.5000 0.5000 0.4065
```


A plane-wave DFT calculation with GGA-PBE was carried out for a relaxed structure of PaMnGa3.

Results
Energy of formation (eV per atom): -0.26
M_tot (Bohr magnetons per cell): 0.00

```
data_PaMnGa3
_cell_length_a 7.9864
_cell_length_b 5.8819
_cell_length_c 9.3447
_cell_angle_alpha 90.00
_cell_angle_beta 125.76
_cell_angle_gamma 90.00
_symmetry_space_group_name_H-M 'P 1 21/c 1'
_symmetry_Int_Tables_number 14
_symmetry_space_group_name_Hall '-P 2ybc'
loop_
_atom_site_label
_atom_site_type_symbol
_atom_site_fract_x
_atom_site_fract_y
_atom_site_fract_z
Pa1 Pa 0.1790 0.1684 0.2913
Mn1 Mn 0.1932 0.0931 0.0693
Ga1 Ga 0.1253 0.6697 0.1013
Ga2 Ga 0.3373 0.6786 0.4549
Ga3 Ga 0.4683 0.0994 0.6936
```


A plane-wave DFT calculation with GGA-PBE was carried out for a relaxed structure of InRe2Sb.

Results
M_tot (Bohr magnetons per cell): 0.00
Energy relative to the lowest polymorph listed for this composition (kJ per mole of atoms): 48.0
Raw formation energy (eV/atom): 0.742

```
data_InRe2Sb
_cell_length_a 8.9403
_cell_length_b 3.0766
_cell_length_c 5.4252
_cell_angle_alpha 90.00
_cell_angle_beta 101.35
_cell_angle_gamma 90.00
_symmetry_space_group_name_H-M 'C 1 2/m 1'
_symmetry_Int_Tables_number 12
_symmetry_space_group_name_Hall '-C 2y'
loop_
_atom_site_label
_atom_site_type_symbol
_atom_site_fract_x
_atom_site_fract_y
_atom_site_fract_z
In1 In 0.0000 0.0000 0.0000
Re1 Re 0.2479 0.0000 0.7185
Sb1 Sb 0.0000 0.5000 0.5000
```


A plane-wave DFT calculation with GGA-PBE was carried out for a relaxed structure of BaCu2Ag2.

Results
Energy of formation (eV per atom): -0.03
M_tot (Bohr magnetons per cell): 0.00
Energy relative to the lowest polymorph listed for this composition (kJ per mole of atoms): 0.0

```
data_BaCu2Ag2
_cell_length_a 4.4298
_cell_length_b 4.4298
_cell_length_c 11.2711
_cell_angle_alpha 90.00
_cell_angle_beta 90.00
_cell_angle_gamma 90.00
_symmetry_space_group_name_H-M 'I 4/m m m'
_symmetry_Int_Tables_number 139
_symmetry_space_group_name_Hall '-I 4 2'
loop_
_atom_site_label
_atom_site_type_symbol
_atom_site_fract_x
_atom_site_fract_y
_atom_site_fract_z
Ba1 Ba 0.0000 0.0000 0.0000
Cu1 Cu 0.0000 0.0000 0.3904
Ag1 Ag 0.0000 0.5000 0.2500
```


A plane-wave DFT calculation with GGA-PBE was carried out for a relaxed structure of NiMo2W.

Results
Energy of formation (eV per atom): 0.19
M_tot (Bohr magnetons per cell): 0.00
Energy relative to the lowest polymorph listed for this composition (kJ per mole of atoms): 13.9

```
data_NiMo2W
_cell_length_a 9.1263
_cell_length_b 2.6820
_cell_length_c 4.9223
_cell_angle_alpha 90.00
_cell_angle_beta 98.37
_cell_angle_gamma 90.00
_symmetry_space_group_name_H-M 'C 1 m 1'
_symmetry_Int_Tables_number 8
_symmetry_space_group_name_Hall 'C -2y'
loop_
_atom_site_label
_atom_site_type_symbol
_atom_site_fract_x
_atom_site_fract_y
_atom_site_fract_z
Ni1 Ni 0.0000 0.0000 0.0000
Mo1 Mo 0.2631 0.0000 0.7578
Mo2 Mo 0.4993 0.0000 0.4979
W1 W 0.2367 0.5000 0.2323
```


A plane-wave DFT calculation with GGA-PBE was carried out for a relaxed structure of YZr2Ru.

Results
Energy of formation (eV per atom): -0.27
M_tot (Bohr magnetons per cell): 0.00
Energy relative to the lowest polymorph listed for this composition (kJ per mole of atoms): 0.0

```
data_YZr2Ru
_cell_length_a 3.3847
_cell_length_b 5.1084
_cell_length_c 10.2744
_cell_angle_alpha 90.00
_cell_angle_beta 90.00
_cell_angle_gamma 90.00
_symmetry_space_group_name_H-M 'I m m m'
_symmetry_Int_Tables_number 71
_symmetry_space_group_name_Hall '-I 2 2'
loop_
_atom_site_label
_atom_site_type_symbol
_atom_site_fract_x
_atom_site_fract_y
_atom_site_fract_z
Y1 Y 0.0000 0.0000 0.0000
Zr1 Zr 0.0000 0.5000 0.2087
Ru1 Ru 0.0000 0.0000 0.5000
```


A plane-wave DFT calculation with GGA-PBE was carried out for a relaxed structure of La2TaCr2N6.

Results
M_tot (Bohr magnetons per cell): 0.00
Raw formation energy (eV/atom): -0.892

```
data_La2TaCr2N6
_cell_length_a 5.8039
_cell_length_b 5.8039
_cell_length_c 15.8819
_cell_angle_alpha 90.00
_cell_angle_beta 90.00
_cell_angle_gamma 120.00
_symmetry_space_group_name_H-M 'R -3 m'
_symmetry_Int_Tables_number 166
_symmetry_space_group_name_Hall '-R 3 2"'
loop_
_atom_site_label
_atom_site_type_symbol
_atom_site_fract_x
_atom_site_fract_y
_atom_site_fract_z
La1 La 0.0000 0.0000 0.2197
Ta1 Ta 0.0000 0.0000 0.0000
Cr1 Cr 0.0000 0.0000 0.4346
N1 N 0.0100 0.5050 0.7472
```


A plane-wave DFT calculation with GGA-PBE was carried out for a relaxed structure of Li2NdInPd.

Results
Energy of formation (eV per atom): -0.40
M_tot (Bohr magnetons per cell): 0.00

```
data_Li2NdInPd
_cell_length_a 3.8478
_cell_length_b 4.3701
_cell_length_c 12.6204
_cell_angle_alpha 90.00
_cell_angle_beta 90.00
_cell_angle_gamma 90.00
_symmetry_space_group_name_H-M 'I m m 2'
_symmetry_Int_Tables_number 44
_symmetry_space_group_name_Hall 'I 2 -2'
loop_
_atom_site_label
_atom_site_type_symbol
_atom_site_fract_x
_atom_site_fract_y
_atom_site_fract_z
Li1 Li 0.0000 0.0000 0.0000
Li2 Li 0.0000 0.5000 0.3412
Nd1 Nd 0.0000 0.5000 0.7183
In1 In 0.0000 0.0000 0.4743
Pd1 Pd 0.0000 0.5000 0.1381
```


Number 1: total DFT energy (no corrections) -52.833 eV/cell. Number 2: total DFT energy (no corrections) -16.983 eV/cell. Number 3: total DFT energy (no corrections) -211.711 eV/cell. Number 4: total DFT energy (no corrections) -71.978 eV/cell. Number 5: total DFT energy (no corrections) -46.779 eV/cell. Number 6: total DFT energy (no corrections) -116.132 eV/cell. Number 7: total DFT energy (no corrections) -57.576 eV/cell. Number 8: total DFT energy (no corrections) -31.964 eV/cell. Number 9: total DFT energy (no corrections) -79.251 eV/cell. Number 10: total DFT energy (no corrections) -67.823 eV/cell. Number 11: total DFT energy (no corrections) -302.161 eV/cell. Number 12: total DFT energy (no corrections) -37.069 eV/cell.